Na3Np2O8: relaxed, PBE-GGA.

a = 6.6641 Å, b = 6.6641 Å, c = 5.5330 Å
α = 107.01°, β = 107.01°, γ = 53.23°
Closest atoms and distances in Å follow each position.
Fractional coordinates of all 13 atoms:
Na  0.0000  0.0000  0.0000  4 O 2.38
Na  0.2693  0.7307  0.5000  6 O 2.35-2.40
Na  0.7307  0.2693  0.5000  6 O 2.35-2.40
Np  0.2621  0.2621  0.8289  2 O 1.91-1.95
Np  0.7379  0.7379  0.1711  2 O 1.91-1.95
O  0.0995  0.6189  0.0877  2 Np 2.17-2.19, 2 Na 2.35-2.38
O  0.1470  0.1470  0.4838  1 Np 1.95
O  0.3814  0.3814  0.6682  1 Np 1.91
O  0.3811  0.9005  0.9123  2 Np 2.17-2.19, 2 Na 2.35-2.38
O  0.6189  0.0995  0.0877  2 Np 2.17-2.19, 2 Na 2.35-2.38
O  0.6186  0.6186  0.3318  1 Np 1.91
O  0.8530  0.8530  0.5162  1 Np 1.95
O  0.9005  0.3811  0.9123  2 Np 2.17-2.19, 2 Na 2.35-2.38

Values from the calculation:
Raw formation energy in meV/atom: -2210
ρ in g cm⁻³: 5.99
Fermi-level density of states in states/eV/cell: 6.07
Space-group type: C2/m, No. 12

---

NaNp3O9: relaxed, PBE-GGA.

a = 7.9944 Å, b = 7.9944 Å, c = 4.1492 Å
α = 90.00°, β = 90.00°, γ = 120.00°
Closest atoms and distances in Å follow each position.
Fractional coordinates of all 13 atoms:
Na  0.0000  0.0000  0.0000  12 O 3.52
Np  0.0000  0.5000  0.5000  6 O 2.07-2.09
Np  0.5000  0.0000  0.5000  6 O 2.07-2.09
Np  0.5000  0.5000  0.5000  6 O 2.07-2.09
O  0.0000  0.5000  0.0000  2 Np 2.07
O  0.2056  0.4113  0.5000  2 Np 2.09
O  0.2056  0.7944  0.5000  2 Np 2.09
O  0.4113  0.2056  0.5000  2 Np 2.09
O  0.5000  0.0000  0.0000  2 Np 2.07
O  0.5000  0.5000  0.0000  2 Np 2.07
O  0.5887  0.7944  0.5000  2 Np 2.09
O  0.7944  0.2056  0.5000  2 Np 2.09
O  0.7944  0.5887  0.5000  2 Np 2.09

Values from the calculation:
Raw formation energy in meV/atom: -2657
ρ in g cm⁻³: 6.35
Fermi-level density of states in states/eV/cell: 6.33
Space-group type: P6/mmm, No. 191

---

Na3NpO10: relaxed, PBE-GGA.

a = 5.7219 Å, b = 6.4204 Å, c = 6.4704 Å
α = 89.82°, β = 88.90°, γ = 66.30°
Closest atoms and distances in Å follow each position.
Fractional coordinates of all 14 atoms:
Na  0.0000  0.0000  0.0000  4 O 2.35-2.39
Na  0.1195  0.7138  0.4934  5 O 2.31-2.55
Na  0.8805  0.2862  0.5066  5 O 2.31-2.55
Np  0.5000  0.0000  0.5000  6 O 1.93-1.99
O  0.1973  0.5509  0.1016  1 O 1.24
O  0.2464  0.9930  0.2961  1 Np 1.99
O  0.2613  0.9523  0.7043  1 Np 1.99
O  0.2999  0.3232  0.5286  1 Np 1.93
O  0.3349  0.3664  0.0218  1 O 1.24
O  0.6651  0.6336  0.9782  1 O 1.24
O  0.7001  0.6768  0.4714  1 Np 1.93
O  0.7387  0.0477  0.2957  1 Np 1.99
O  0.7536  0.0070  0.7039  1 Np 1.99
O  0.8027  0.4491  0.8984  1 O 1.24

Values from the calculation:
Distance to the lowest polymorph of the same formula in meV per atom: 89
Raw formation energy in meV/atom: -1231
ρ in g cm⁻³: 3.56
Fermi-level density of states in states/eV/cell: 6.07
Space-group type: P-1, No. 2

---

NaNpO6: relaxed, PBE-GGA.

a = 6.0217 Å, b = 6.0217 Å, c = 6.0217 Å
α = 60.00°, β = 60.00°, γ = 60.00°
Closest atoms and distances in Å follow each position.
Fractional coordinates of all 8 atoms:
Na  0.0000  0.0000  0.0000  6 O 2.39
Np  0.5000  0.5000  0.5000  6 O 1.87
O  0.2805  0.2805  0.7195  1 Np 1.87
O  0.2805  0.7195  0.2805  1 Np 1.87
O  0.2805  0.7195  0.7195  1 Np 1.87
O  0.7195  0.2805  0.2805  1 Np 1.87
O  0.7195  0.2805  0.7195  1 Np 1.87
O  0.7195  0.7195  0.2805  1 Np 1.87

Values from the calculation:
Raw formation energy in meV/atom: -1234
ρ in g cm⁻³: 3.83
Fermi-level density of states in states/eV/cell: 8.11
Space-group type: Fm-3m, No. 225

---

Na5NpO6: relaxed, PBE-GGA.

a = 5.8373 Å, b = 5.8373 Å, c = 5.8106 Å
α = 100.21°, β = 100.21°, γ = 119.52°
Closest atoms and distances in Å follow each position.
Fractional coordinates of all 12 atoms:
Na  0.0000  0.0000  0.0000  4 O 2.36
Na  0.1668  0.8332  0.5000  6 O 2.40-2.46
Na  0.3259  0.6741  0.0000  6 O 2.40-2.62
Na  0.6741  0.3259  0.0000  6 O 2.40-2.62
Na  0.8332  0.1668  0.5000  6 O 2.40-2.46
Np  0.5000  0.5000  0.5000  6 O 2.02-2.06
O  0.1396  0.4267  0.2768  1 Np 2.06
O  0.2901  0.2901  0.7096  1 Np 2.02
O  0.4267  0.1396  0.2768  1 Np 2.06
O  0.5733  0.8604  0.7232  1 Np 2.06
O  0.7099  0.7099  0.2904  1 Np 2.02
O  0.8604  0.5733  0.7232  1 Np 2.06

Values from the calculation:
Raw formation energy in meV/atom: -2108
ρ in g cm⁻³: 4.61
Space-group type: C2/m, No. 12

---

Na2Np2O7: relaxed, PBE-GGA.

a = 7.8605 Å, b = 7.8605 Å, c = 7.8605 Å
α = 118.66°, β = 90.03°, γ = 121.33°
Closest atoms and distances in Å follow each position.
Fractional coordinates of all 22 atoms:
Na  0.0000  0.0000  0.0000  2 O 2.32
Na  0.5000  0.0000  0.0000  8 O 2.80-2.84
Na  0.5000  0.0000  0.5000  2 O 2.32
Na  0.5000  0.5000  0.5000  8 O 2.80-2.84
Np  0.0000  0.0000  0.5000  6 O 2.04-2.10
Np  0.0000  0.5000  0.0000  6 O 2.04-2.10
Np  0.0000  0.5000  0.5000  2 O 1.88
Np  0.5000  0.5000  0.0000  2 O 1.88
O  0.0568  0.2287  0.4159  2 Np 2.04-2.20
O  0.0568  0.6408  0.8280  2 Np 2.04-2.20
O  0.0801  0.8301  0.2500  2 Np 2.10
O  0.2946  0.7191  0.5755  1 Np 1.88
O  0.3128  0.2287  0.6720  2 Np 2.04-2.20
O  0.3128  0.6408  0.0841  2 Np 2.04-2.20
O  0.3565  0.2809  0.0755  1 Np 1.88
O  0.6435  0.7191  0.9245  1 Np 1.88
O  0.6872  0.3592  0.9159  2 Np 2.04-2.20
O  0.6872  0.7713  0.3280  2 Np 2.04-2.20
O  0.7054  0.2809  0.4245  1 Np 1.88
O  0.9199  0.1699  0.7500  2 Np 2.10
O  0.9432  0.3592  0.1720  2 Np 2.04-2.20
O  0.9432  0.7713  0.5841  2 Np 2.04-2.20

Values from the calculation:
Raw formation energy in meV/atom: -2574
ρ in g cm⁻³: 6.11
Fermi-level density of states in states/eV/cell: 8.54
Space-group type: Imma, No. 74

---

NaNpO4: relaxed, PBE-GGA.

a = 6.1697 Å, b = 6.1697 Å, c = 6.1697 Å
α = 111.48°, β = 106.49°, γ = 110.48°
Closest atoms and distances in Å follow each position.
Fractional coordinates of all 12 atoms:
Na  0.4993  0.2493  0.2500  6 O 2.41-2.45
Na  0.5007  0.7507  0.7500  6 O 2.41-2.45
Np  0.0000  0.0000  0.5000  2 O 1.85
Np  0.0000  0.5000  0.0000  2 O 1.85
O  0.1683  0.2496  0.9188  2 Np 2.14
O  0.1692  0.7504  0.4188  2 Np 2.14
O  0.2633  0.2638  0.5005  1 Np 1.85
O  0.2633  0.7628  0.9995  1 Np 1.85
O  0.7367  0.2372  0.0005  1 Np 1.85
O  0.7367  0.7362  0.4995  1 Np 1.85
O  0.8308  0.2496  0.5812  2 Np 2.14
O  0.8317  0.7504  0.0812  2 Np 2.14

Values from the calculation:
Distance to the lowest polymorph of the same formula in meV per atom: 0
Raw formation energy in meV/atom: -2405
ρ in g cm⁻³: 5.96
Space-group type: Imma, No. 74

---

Na3NpO4: relaxed, PBE-GGA.

a = 4.5337 Å, b = 7.7378 Å, c = 7.1500 Å
α = 90.00°, β = 90.00°, γ = 90.00°
Closest atoms and distances in Å follow each position.
Fractional coordinates of all 16 atoms:
Na  0.2500  0.0108  0.1521  5 O 2.31-2.50
Na  0.2500  0.4892  0.1521  5 O 2.31-2.50
Na  0.2500  0.7500  0.6989  5 O 2.31-2.45
Na  0.7500  0.2500  0.3011  5 O 2.31-2.45
Na  0.7500  0.5108  0.8479  5 O 2.31-2.50
Na  0.7500  0.9892  0.8479  5 O 2.31-2.50
Np  0.2500  0.2500  0.6449  5 O 2.03-2.27
Np  0.7500  0.7500  0.3551  5 O 2.03-2.27
O  0.2500  0.0451  0.8239  1 Np 2.04
O  0.2500  0.2500  0.3604  1 Np 2.03
O  0.2500  0.4549  0.8239  1 Np 2.04
O  0.2500  0.7500  0.3589  2 Np 2.27, 3 Na 2.43-2.50
O  0.7500  0.2500  0.6411  2 Np 2.27, 3 Na 2.43-2.50
O  0.7500  0.5451  0.1761  1 Np 2.04
O  0.7500  0.7500  0.6396  1 Np 2.03
O  0.7500  0.9549  0.1761  1 Np 2.04

Values from the calculation:
Distance to the lowest polymorph of the same formula in meV per atom: 135
Raw formation energy in meV/atom: -2130
ρ in g cm⁻³: 4.90
Fermi-level density of states in states/eV/cell: 10.42
Space-group type: Pmmn, No. 59

---

Na5Np3O12: relaxed, PBE-GGA.

a = 9.7791 Å, b = 9.7791 Å, c = 3.4728 Å
α = 90.00°, β = 90.00°, γ = 120.00°
Closest atoms and distances in Å follow each position.
Fractional coordinates of all 20 atoms:
Na  0.0000  0.7058  0.0000  7 O 2.37-2.55
Na  0.2942  0.2942  0.0000  7 O 2.37-2.55
Na  0.3333  0.6667  0.0000  9 O 2.59-2.85
Na  0.6667  0.3333  0.0000  9 O 2.59-2.85
Na  0.7058  0.0000  0.0000  7 O 2.37-2.55
Np  0.0000  0.3326  0.5000  2 O 1.90
Np  0.3326  0.0000  0.5000  2 O 1.90
Np  0.6674  0.6674  0.5000  2 O 1.90
O  0.0000  0.2016  0.0000  2 Np 2.16
O  0.0000  0.4635  0.0000  2 Np 2.16, 1 Na 2.37
O  0.2016  0.0000  0.0000  2 Np 2.16
O  0.2153  0.7753  0.5000  1 Np 1.90
O  0.2247  0.4400  0.5000  1 Np 1.90
O  0.4400  0.2247  0.5000  1 Np 1.90
O  0.4635  0.0000  0.0000  2 Np 2.16, 1 Na 2.37
O  0.5365  0.5365  0.0000  2 Np 2.16, 1 Na 2.37
O  0.5599  0.7847  0.5000  1 Np 1.90
O  0.7753  0.2153  0.5000  1 Np 1.90
O  0.7847  0.5599  0.5000  1 Np 1.90
O  0.7984  0.7984  0.0000  2 Np 2.16

Values from the calculation:
Distance to the lowest polymorph of the same formula in meV per atom: 0
Raw formation energy in meV/atom: -2434
ρ in g cm⁻³: 5.88
Fermi-level density of states in states/eV/cell: 10.48
Space-group type: P-62m, No. 189

---

Copy entry 9 word for word.
Na5Np3O12: relaxed, PBE-GGA.

a = 9.7791 Å, b = 9.7791 Å, c = 3.4728 Å
α = 90.00°, β = 90.00°, γ = 120.00°
Closest atoms and distances in Å follow each position.
Fractional coordinates of all 20 atoms:
Na  0.0000  0.7058  0.0000  7 O 2.37-2.55
Na  0.2942  0.2942  0.0000  7 O 2.37-2.55
Na  0.3333  0.6667  0.0000  9 O 2.59-2.85
Na  0.6667  0.3333  0.0000  9 O 2.59-2.85
Na  0.7058  0.0000  0.0000  7 O 2.37-2.55
Np  0.0000  0.3326  0.5000  2 O 1.90
Np  0.3326  0.0000  0.5000  2 O 1.90
Np  0.6674  0.6674  0.5000  2 O 1.90
O  0.0000  0.2016  0.0000  2 Np 2.16
O  0.0000  0.4635  0.0000  2 Np 2.16, 1 Na 2.37
O  0.2016  0.0000  0.0000  2 Np 2.16
O  0.2153  0.7753  0.5000  1 Np 1.90
O  0.2247  0.4400  0.5000  1 Np 1.90
O  0.4400  0.2247  0.5000  1 Np 1.90
O  0.4635  0.0000  0.0000  2 Np 2.16, 1 Na 2.37
O  0.5365  0.5365  0.0000  2 Np 2.16, 1 Na 2.37
O  0.5599  0.7847  0.5000  1 Np 1.90
O  0.7753  0.2153  0.5000  1 Np 1.90
O  0.7847  0.5599  0.5000  1 Np 1.90
O  0.7984  0.7984  0.0000  2 Np 2.16

Values from the calculation:
Distance to the lowest polymorph of the same formula in meV per atom: 0
Raw formation energy in meV/atom: -2434
ρ in g cm⁻³: 5.88
Fermi-level density of states in states/eV/cell: 10.48
Space-group type: P-62m, No. 189

---

The lowest ρ belongs to which entry?
Na3NpO10

---

Which of these has the highest ρ?
NaNp3O9